[1]
Compound: Rb2Tm2TeS6
Source: Alexandria
Functional: PBE
Structure: optimized geometry

Cell: 6.848 6.848 8.209 Å, 98.03 98.03 119.84°
Positions (direct):
Rb (0.167, 0.833, 0.000)
S (0.733, 0.733, 0.686)
S (0.062, 0.391, 0.685)
S (0.609, 0.938, 0.315)
Rb (0.833, 0.167, 0.000)
Tm (0.333, 0.667, 0.500)
Tm (0.667, 0.333, 0.500)
S (0.938, 0.609, 0.315)
S (0.391, 0.062, 0.685)
Te (0.000, 0.000, 0.500)
S (0.267, 0.267, 0.314)

Computed properties:
Its symmetry is C2/m. Its volume is 29.16 A^3/atom. Its magnetization is 0.0 μB/cell. The value obtained for the raw formation energy is -1353 meV/atom. The calculation puts the density at 4.3 g/cm3. The total DFT energy (no corrections) is -0.359 Ry/atom.


[2]
Compound: KPrCd2
Source: Alexandria
Functional: PBE
Structure: optimized geometry

Cell: 3.933 3.933 8.606 Å, 90.00 90.00 90.00°
Site moments in Bohr magnetons follow the coordinates.
Positions (direct):
Cd (0.000, 0.000, 0.211)  0.01
K (0.500, 0.500, 0.500)  0.00
Cd (0.000, 0.000, 0.789)  0.01
Pr (0.500, 0.500, 0.000)  0.16

Computed properties:
Its symmetry is P4/mmm. Its volume is 33.28 A^3/atom. Its magnetization is 0.4 μB/cell. The calculation puts the density at 5.0 g/cm3. The total DFT energy (no corrections) is -0.151 Ry/atom. The value obtained for the formation energy is -128 meV/atom.


[3]
Compound: InRuIN2
Source: Alexandria
Functional: PBE
Structure: optimized geometry

Cell: 4.054 4.054 6.123 Å, 90.00 90.00 90.00°
Site moments in Bohr magnetons follow the coordinates.
Positions (direct):
N (0.000, 0.500, 0.000)  0.19
In (0.500, 0.500, 0.500)  0.01
N (0.500, 0.000, 0.000)  0.19
Ru (0.000, 0.000, 0.000)  -0.05
I (0.000, 0.000, 0.500)  0.01

Computed properties:
Its symmetry is P4/mmm. Its volume is 20.13 A^3/atom. Its magnetization is 0.5 μB/cell. The value obtained for the raw formation energy is 1040 meV/atom. The calculation puts the density at 6.1 g/cm3. The total DFT energy (no corrections) is -0.368 Ry/atom.


[4]
Compound: Pr2Sm2Pt3
Source: Alexandria
Functional: PBE
Structure: optimized geometry

Cell: 4.250 7.103 7.367 Å, 99.45 89.99 107.43°
Positions (direct):
Pt (0.241, 0.481, 0.745)
Sm (0.371, 0.741, 0.099)
Sm (0.629, 0.259, 0.901)
Pr (0.134, 0.267, 0.362)
Pr (0.866, 0.733, 0.638)
Pt (0.759, 0.519, 0.255)
Pt (0.000, 0.000, 0.000)

Computed properties:
Its symmetry is C2/m. Its volume is 29.86 A^3/atom. Its magnetization is 0.0 μB/cell. The calculation puts the density at 9.3 g/cm3. The total DFT energy (no corrections) is -0.458 Ry/atom. The value obtained for the formation energy is -935 meV/atom.


[5]
Compound: NaZrAl
Source: Alexandria
Functional: PBE
Structure: optimized geometry

Cell: 20.379 9.932 9.932 Å, 154.28 163.68 16.32°
Positions (direct):
Na (0.930, 0.523, 0.477)
Zr (0.169, 0.049, 0.951)
Na (0.530, 0.322, 0.678)
Al (0.689, 0.009, 0.991)
Zr (0.799, 0.291, 0.709)
Al (0.291, 0.305, 0.695)

Computed properties:
Its symmetry is Cm. Its volume is 25.57 A^3/atom. Its magnetization is 0.0 μB/cell. The calculation puts the density at 3.1 g/cm3. The total DFT energy (no corrections) is -0.335 Ry/atom. The value obtained for the formation energy is -22 meV/atom.


[6]
Compound: Dy8Ir3Pb2
Source: Alexandria
Functional: PBE
Structure: optimized geometry

Cell: 4.883 9.820 9.000 Å, 123.02 90.00 90.00°
Positions (direct):
Ir (0.500, 0.000, 0.000)
Dy (0.000, 0.393, 0.785)
Dy (0.000, 0.112, 0.223)
Dy (0.500, 0.645, 0.780)
Pb (0.500, 0.744, 0.487)
Dy (0.500, 0.355, 0.220)
Dy (0.500, 0.865, 0.220)
Ir (0.000, 0.750, 0.000)
Dy (0.500, 0.135, 0.780)
Pb (0.500, 0.256, 0.513)
Dy (0.000, 0.888, 0.777)
Ir (0.000, 0.250, 0.000)
Dy (0.000, 0.607, 0.215)

Computed properties:
Its symmetry is Cmmm. Its volume is 27.84 A^3/atom. Its magnetization is 0.0 μB/cell. The calculation puts the density at 10.5 g/cm3. The total DFT energy (no corrections) is -0.443 Ry/atom. The value obtained for the formation energy is -584 meV/atom.